Entry 1:
# Tb3Ho2Cd3

Tb3Ho2Cd3 after structural relaxation (GGA-PBE, Alexandria).

a = 3.726 Å, b = 5.363 Å, c = 11.565 Å
α = 103.41°, β = 99.27°, γ = 90.00°
Element x y z (fractional)
Tb (0.623, 0.623, 0.247)
Tb (0.377, 0.377, 0.753)
Tb (0.500, 0.000, 0.000)
Ho (0.734, 0.234, 0.468)
Ho (0.266, 0.766, 0.532)
Cd (0.118, 0.118, 0.236)
Cd (0.000, 0.500, 0.000)
Cd (0.882, 0.882, 0.764)



Entry 2:
# TbHo5Cd3

TbHo5Cd3 after structural relaxation (GGA-PBE, Alexandria).

a = 6.921 Å, b = 9.140 Å, c = 9.140 Å
α = 120.00°, β = 90.00°, γ = 90.00°
Element x y z (fractional)
Tb (0.000, 0.000, 0.000)
Tb (0.500, 0.000, 0.000)
Ho (0.000, 0.667, 0.333)
Ho (0.500, 0.333, 0.667)
Ho (0.000, 0.333, 0.667)
Ho (0.500, 0.667, 0.333)
Ho (0.750, 0.666, 0.666)
Ho (0.750, 0.000, 0.334)
Ho (0.750, 0.334, 0.000)
Ho (0.250, 0.334, 0.334)
Ho (0.250, 0.000, 0.666)
Ho (0.250, 0.666, 0.000)
Cd (0.750, 0.334, 0.334)
Cd (0.750, 0.000, 0.666)
Cd (0.750, 0.666, 0.000)
Cd (0.250, 0.666, 0.666)
Cd (0.250, 0.000, 0.334)
Cd (0.250, 0.334, 0.000)



Entry 3:
# TbHoCd5

TbHoCd5 after structural relaxation (GGA-PBE, Alexandria).

a = 5.128 Å, b = 5.128 Å, c = 6.925 Å
α = 90.00°, β = 90.00°, γ = 90.00°
Element x y z (fractional)
Tb (0.000, 0.000, 0.500)
Ho (0.500, 0.500, 0.000)
Cd (0.000, 0.500, 0.767)
Cd (0.000, 0.500, 0.233)
Cd (0.500, 0.000, 0.767)
Cd (0.500, 0.000, 0.233)
Cd (0.500, 0.500, 0.500)



Entry 4:
# Tb5HoCd6

Tb5HoCd6 after structural relaxation (GGA-PBE, Alexandria).

a = 5.297 Å, b = 7.534 Å, c = 8.379 Å
α = 90.00°, β = 71.69°, γ = 90.00°
Element x y z (fractional)
Tb (0.667, 0.500, 0.666)
Tb (0.334, 0.000, 0.332)
Tb (0.000, 0.500, 0.000)
Tb (0.666, 0.000, 0.668)
Tb (0.333, 0.500, 0.334)
Ho (0.000, 0.000, 0.000)
Cd (0.834, 0.751, 0.332)
Cd (0.834, 0.249, 0.332)
Cd (0.500, 0.249, 0.000)
Cd (0.500, 0.751, 0.000)
Cd (0.166, 0.751, 0.668)
Cd (0.166, 0.249, 0.668)



Entry 5:
# Tb4Ho9Cd11

Tb4Ho9Cd11 after structural relaxation (GGA-PBE, Alexandria).

a = 3.514 Å, b = 13.848 Å, c = 13.848 Å
α = 109.46°, β = 90.00°, γ = 90.00°
Last column: magnetic moment on the atom in μB.
Element x y z (fractional)
Tb (0.500, 0.582, 0.750)  0.12
Tb (0.500, 0.418, 0.250)  0.12
Tb (0.500, 0.750, 0.582)  0.12
Tb (0.500, 0.250, 0.418)  0.12
Ho (0.500, 0.618, 0.154)  0.00
Ho (0.500, 0.382, 0.846)  0.00
Ho (0.500, 0.154, 0.618)  0.00
Ho (0.500, 0.846, 0.382)  0.00
Ho (0.500, 0.794, 0.981)  0.05
Ho (0.500, 0.206, 0.019)  0.05
Ho (0.500, 0.981, 0.794)  0.05
Ho (0.500, 0.019, 0.206)  0.05
Ho (0.500, 0.500, 0.500)  0.22
Cd (0.000, 0.588, 0.951)  0.00
Cd (0.000, 0.412, 0.049)  0.00
Cd (0.000, 0.951, 0.588)  0.00
Cd (0.000, 0.049, 0.412)  0.00
Cd (0.000, 0.630, 0.370)  0.00
Cd (0.000, 0.370, 0.630)  0.00
Cd (0.000, 0.819, 0.181)  0.00
Cd (0.000, 0.181, 0.819)  0.00
Cd (0.000, 0.000, 0.000)  0.00
Cd (0.000, 0.788, 0.788)  0.00
Cd (0.000, 0.212, 0.212)  0.00



Entry 6:
# Tb6HoCd2

Tb6HoCd2 after structural relaxation (GGA-PBE, Alexandria).

a = 3.748 Å, b = 6.581 Å, c = 11.680 Å
α = 75.52°, β = 80.77°, γ = 73.46°
Element x y z (fractional)
Tb (0.685, 0.507, 0.123)
Tb (0.315, 0.493, 0.877)
Tb (0.312, 0.791, 0.585)
Tb (0.984, 0.693, 0.339)
Tb (0.016, 0.307, 0.661)
Tb (0.688, 0.209, 0.415)
Ho (0.000, 0.000, 0.000)
Cd (0.355, 0.084, 0.206)
Cd (0.645, 0.916, 0.794)



Entry 7:
# Tb4HoCd

Tb4HoCd after structural relaxation (GGA-PBE, Alexandria).

Distance to the lowest polymorph of the same formula in eV per atom: 0.1002

a = 6.310 Å, b = 8.912 Å, c = 8.308 Å
α = 112.92°, β = 99.92°, γ = 112.76°
Element x y z (fractional)
Tb (0.040, 0.162, 0.755)
Tb (0.754, 0.711, 0.618)
Tb (0.215, 0.593, 0.755)
Tb (0.364, 0.907, 0.618)
Tb (0.636, 0.093, 0.382)
Tb (0.785, 0.407, 0.245)
Tb (0.246, 0.289, 0.382)
Tb (0.960, 0.838, 0.245)
Ho (0.339, 0.589, 0.178)
Ho (0.661, 0.411, 0.822)
Cd (0.251, 0.001, 0.001)
Cd (0.749, 0.999, 0.999)



Entry 8:
# Tb4Ho3Cd2

Tb4Ho3Cd2 after structural relaxation (GGA-PBE, Alexandria).

a = 4.878 Å, b = 7.731 Å, c = 7.728 Å
α = 107.72°, β = 108.40°, γ = 90.00°
Element x y z (fractional)
Tb (0.555, 0.333, 0.111)
Tb (0.779, 0.680, 0.557)
Tb (0.445, 0.667, 0.889)
Tb (0.221, 0.320, 0.443)
Ho (0.886, 0.326, 0.773)
Ho (0.114, 0.674, 0.227)
Ho (0.000, 0.000, 0.000)
Cd (0.335, 0.002, 0.669)
Cd (0.665, 0.998, 0.331)



Entry 9:
# Tb8HoCd2

Tb8HoCd2 after structural relaxation (GGA-PBE, Alexandria).

a = 5.591 Å, b = 8.752 Å, c = 8.752 Å
α = 119.92°, β = 101.14°, γ = 101.14°
Element x y z (fractional)
Tb (0.887, 0.906, 0.681)
Tb (0.887, 0.681, 0.906)
Tb (0.298, 0.600, 0.600)
Tb (0.500, 0.781, 0.219)
Tb (0.500, 0.219, 0.781)
Tb (0.702, 0.400, 0.400)
Tb (0.113, 0.319, 0.094)
Tb (0.113, 0.094, 0.319)
Ho (0.500, 0.000, 0.000)
Cd (0.000, 0.306, 0.694)
Cd (0.000, 0.694, 0.306)



Entry 10:
# Tb2HoCd3

Tb2HoCd3 after structural relaxation (GGA-PBE, Alexandria).

a = 5.298 Å, b = 5.298 Å, c = 6.506 Å
α = 90.00°, β = 90.00°, γ = 120.00°
Element x y z (fractional)
Tb (0.667, 0.333, 0.330)
Tb (0.333, 0.667, 0.670)
Ho (0.000, 0.000, 0.000)
Cd (0.000, 0.000, 0.500)
Cd (0.667, 0.333, 0.832)
Cd (0.333, 0.667, 0.168)



Entry 11:
# TbHoCd4

TbHoCd4 after structural relaxation (GGA-PBE, Alexandria).

Distance to the lowest polymorph of the same formula in eV per atom: 0.0649

a = 5.904 Å, b = 5.904 Å, c = 5.904 Å
α = 60.00°, β = 60.00°, γ = 60.00°
Element x y z (fractional)
Tb (0.000, 0.000, 0.000)
Ho (0.250, 0.250, 0.250)
Cd (0.625, 0.625, 0.125)
Cd (0.625, 0.125, 0.625)
Cd (0.625, 0.625, 0.625)
Cd (0.125, 0.625, 0.625)



Entry 12:
# Tb2Ho5Cd

Tb2Ho5Cd after structural relaxation (GGA-PBE, Alexandria).

a = 8.098 Å, b = 8.097 Å, c = 6.806 Å
α = 126.49°, β = 126.49°, γ = 90.02°
Element x y z (fractional)
Tb (0.211, 0.711, 0.422)
Tb (0.712, 0.211, 0.422)
Ho (0.692, 0.243, 0.935)
Ho (0.244, 0.244, 0.937)
Ho (0.691, 0.691, 0.935)
Ho (0.243, 0.692, 0.935)
Ho (0.782, 0.782, 0.564)
Cd (0.202, 0.202, 0.404)



Entry 13:
# Tb3Ho4Cd

Tb3Ho4Cd after structural relaxation (GGA-PBE, Alexandria).

Distance to the lowest polymorph of the same formula in eV per atom: 0.0179

a = 6.156 Å, b = 6.995 Å, c = 11.154 Å
α = 90.00°, β = 90.00°, γ = 90.00°
Element x y z (fractional)
Tb (0.629, 0.628, 0.000)
Tb (0.978, 0.619, 0.238)
Tb (0.478, 0.381, 0.262)
Tb (0.129, 0.372, 0.500)
Tb (0.478, 0.381, 0.738)
Tb (0.978, 0.619, 0.762)
Ho (0.164, 0.881, 0.000)
Ho (0.638, 0.129, 0.000)
Ho (0.988, 0.127, 0.241)
Ho (0.488, 0.873, 0.259)
Ho (0.138, 0.871, 0.500)
Ho (0.664, 0.119, 0.500)
Ho (0.488, 0.873, 0.741)
Ho (0.988, 0.127, 0.759)
Cd (0.152, 0.374, 0.000)
Cd (0.652, 0.626, 0.500)



Entry 14:
# TbHo5Cd6

TbHo5Cd6 after structural relaxation (GGA-PBE, Alexandria).

a = 5.269 Å, b = 7.480 Å, c = 8.341 Å
α = 90.00°, β = 71.74°, γ = 90.00°
Element x y z (fractional)
Tb (0.000, 0.000, 0.000)
Ho (0.666, 0.500, 0.668)
Ho (0.333, 0.000, 0.334)
Ho (0.000, 0.500, 0.000)
Ho (0.667, 0.000, 0.666)
Ho (0.334, 0.500, 0.332)
Cd (0.833, 0.748, 0.335)
Cd (0.833, 0.252, 0.335)
Cd (0.500, 0.251, 0.000)
Cd (0.500, 0.749, 0.000)
Cd (0.167, 0.748, 0.665)
Cd (0.167, 0.252, 0.665)



Entry 15:
# Tb2HoCd2

Tb2HoCd2 after structural relaxation (GGA-PBE, Alexandria).

Distance to the lowest polymorph of the same formula in eV per atom: 0.0000

a = 3.724 Å, b = 5.336 Å, c = 13.896 Å
α = 90.00°, β = 97.72°, γ = 90.00°
Element x y z (fractional)
Tb (0.045, 0.750, 0.090)
Tb (0.955, 0.250, 0.910)
Tb (0.235, 0.750, 0.471)
Tb (0.765, 0.250, 0.529)
Ho (0.851, 0.750, 0.702)
Ho (0.149, 0.250, 0.298)
Cd (0.640, 0.750, 0.281)
Cd (0.360, 0.250, 0.719)
Cd (0.447, 0.750, 0.894)
Cd (0.553, 0.250, 0.106)



Entry 16:
# Tb2HoCd3

Tb2HoCd3 after structural relaxation (GGA-PBE, Alexandria).

a = 3.751 Å, b = 3.751 Å, c = 11.234 Å
α = 90.00°, β = 90.00°, γ = 90.00°
Element x y z (fractional)
Tb (0.500, 0.500, 0.832)
Tb (0.500, 0.500, 0.168)
Ho (0.500, 0.500, 0.500)
Cd (0.000, 0.000, 0.000)
Cd (0.000, 0.000, 0.664)
Cd (0.000, 0.000, 0.336)



Entry 17:
# Tb3Ho2Cd6

Tb3Ho2Cd6 after structural relaxation (GGA-PBE, Alexandria).

a = 4.108 Å, b = 4.108 Å, c = 18.952 Å
α = 96.22°, β = 96.22°, γ = 90.00°
Element x y z (fractional)
Tb (0.000, 0.000, 0.000)
Tb (0.813, 0.813, 0.625)
Tb (0.187, 0.187, 0.375)
Ho (0.366, 0.366, 0.732)
Ho (0.634, 0.634, 0.268)
Cd (0.067, 0.567, 0.133)
Cd (0.567, 0.067, 0.133)
Cd (0.933, 0.433, 0.867)
Cd (0.433, 0.933, 0.867)
Cd (0.726, 0.726, 0.452)
Cd (0.274, 0.274, 0.548)



Entry 18:
# Tb3Ho3Cd

Tb3Ho3Cd after structural relaxation (GGA-PBE, Alexandria).

a = 5.511 Å, b = 9.368 Å, c = 9.369 Å
α = 120.02°, β = 90.00°, γ = 90.00°
Element x y z (fractional)
Tb (0.250, 0.522, 0.629)
Tb (0.250, 0.107, 0.478)
Tb (0.250, 0.371, 0.893)
Tb (0.750, 0.478, 0.371)
Tb (0.750, 0.893, 0.522)
Tb (0.750, 0.629, 0.107)
Ho (0.750, 0.759, 0.820)
Ho (0.750, 0.062, 0.241)
Ho (0.750, 0.180, 0.939)
Ho (0.250, 0.241, 0.180)
Ho (0.250, 0.938, 0.759)
Ho (0.250, 0.820, 0.061)
Cd (0.750, 0.333, 0.667)
Cd (0.250, 0.667, 0.333)



Entry 19:
# TbHo4Cd

TbHo4Cd after structural relaxation (GGA-PBE, Alexandria).

Distance to the lowest polymorph of the same formula in eV per atom: 0.0994

a = 6.282 Å, b = 8.868 Å, c = 8.262 Å
α = 112.86°, β = 99.84°, γ = 112.94°
Element x y z (fractional)
Tb (0.339, 0.589, 0.179)
Tb (0.661, 0.411, 0.821)
Ho (0.038, 0.160, 0.753)
Ho (0.754, 0.711, 0.619)
Ho (0.215, 0.592, 0.753)
Ho (0.365, 0.907, 0.619)
Ho (0.635, 0.093, 0.381)
Ho (0.785, 0.408, 0.247)
Ho (0.246, 0.289, 0.381)
Ho (0.962, 0.840, 0.247)
Cd (0.250, 0.000, 0.001)
Cd (0.750, 0.000, 0.999)



Entry 20:
# Tb3Ho2Cd

Tb3Ho2Cd after structural relaxation (GGA-PBE, Alexandria).

Distance to the lowest polymorph of the same formula in eV per atom: 0.0000

a = 3.561 Å, b = 3.561 Å, c = 14.143 Å
α = 90.00°, β = 90.00°, γ = 90.00°
Element x y z (fractional)
Tb (0.000, 0.000, 0.000)
Tb (0.000, 0.000, 0.648)
Tb (0.000, 0.000, 0.352)
Ho (0.500, 0.500, 0.824)
Ho (0.500, 0.500, 0.176)
Cd (0.500, 0.500, 0.500)



Entry 21:
# TbHo7Cd4

TbHo7Cd4 after structural relaxation (GGA-PBE, Alexandria).

a = 5.680 Å, b = 8.975 Å, c = 7.851 Å
α = 69.97°, β = 68.79°, γ = 71.55°
Element x y z (fractional)
Tb (0.000, 0.000, 0.000)
Ho (0.794, 0.881, 0.531)
Ho (0.206, 0.119, 0.469)
Ho (0.072, 0.586, 0.270)
Ho (0.928, 0.414, 0.730)
Ho (0.261, 0.694, 0.783)
Ho (0.500, 0.000, 0.000)
Ho (0.739, 0.306, 0.217)
Cd (0.542, 0.288, 0.628)
Cd (0.458, 0.712, 0.372)
Cd (0.681, 0.659, 0.978)
Cd (0.319, 0.341, 0.022)



Sequential E output: -3.4611; -3.5492; -2.0617; -3.0871; -3.1392; -3.9293; -3.9943; -3.8632; -3.9196; -3.0837; -2.3945; -4.1204; -4.1864; -3.0690; -3.3907; -3.0821; -2.5755; -4.1137; -3.9660; -4.0831; -3.3454 eV/atom
Sequential ΔH_f (0 K) output: -0.237; -0.186; -0.093; -0.319; -0.231; -0.130; 0.008; -0.076; 0.030; -0.320; -0.250; 0.013; -0.047; -0.318; -0.257; -0.318; 0.019; -0.037; 0.010; -0.090; 0.016 eV/atom